The following is a SCAN calculation of a PBEsol-optimized structure of DyGePd2, from the Alexandria database.

Structure (CIF):
```
data_DyGePd2
_symmetry_space_group_name_H-M 'P n m a'
_symmetry_Int_Tables_number 62
_cell_length_a 7.297
_cell_length_b 7.017
_cell_length_c 5.512
_cell_angle_alpha 90.00
_cell_angle_beta 90.00
_cell_angle_gamma 90.00
loop_
_symmetry_equiv_pos_as_xyz
'x,y,z'
'-x,-y,-z'
'-x+1/2,-y,z+1/2'
'x+1/2,y,-z+1/2'
'x+1/2,-y+1/2,-z+1/2'
'-x+1/2,y+1/2,z+1/2'
'-x,y+1/2,-z'
'x,-y+1/2,z'
loop_
_atom_site_label
_atom_site_fract_x
_atom_site_fract_y
_atom_site_fract_z
Dy1 0.029 0.250 0.144
Ge1 0.119 0.750 0.356
Pd1 0.182 0.052 0.588
```

## Properties
calculated formation energy	-99	kJ/mol of atoms

---

The following is a SCAN calculation of a PBEsol-optimized structure of DyGePt, from the Alexandria database.

Structure (CIF):
```
data_DyGePt
_symmetry_space_group_name_H-M 'P n m a'
_symmetry_Int_Tables_number 62
_cell_length_a 6.930
_cell_length_b 4.331
_cell_length_c 7.514
_cell_angle_alpha 90.00
_cell_angle_beta 90.00
_cell_angle_gamma 90.00
loop_
_symmetry_equiv_pos_as_xyz
'x,y,z'
'-x,-y,-z'
'-x+1/2,-y,z+1/2'
'x+1/2,y,-z+1/2'
'x+1/2,-y+1/2,-z+1/2'
'-x+1/2,y+1/2,z+1/2'
'-x,y+1/2,-z'
'x,-y+1/2,z'
loop_
_atom_site_label
_atom_site_fract_x
_atom_site_fract_y
_atom_site_fract_z
Dy1 0.003 0.250 0.203
Ge1 0.189 0.250 0.588
Pt1 0.204 0.750 0.416
```

## Properties
calculated formation energy	-132	kJ/mol of atoms